Entry 1:
10
Lattice="-3.792 4.859 -2.264 -1.949 -4.333 -6.036 -5.840 -4.148 0.879" Properties=species:S:1:pos:R:3 comment="KSrCdO2 | the Alexandria database | PBE-GGA | optimized geometry" dft_energy_ev_per_atom=-4.126 e_above_lowest_polymorph_ev_per_fu=0.00 formation_energy_uncorrected_ev_per_atom=-1.40 magnetic_moment_mub_per_fu=0.0 pbc="T T T"
Cd 0.000 0.000 0.000
K -6.169 -4.234 -2.845
Sr -6.285 -0.671 -0.478
O -5.510 1.072 -2.015
Cd -2.920 -2.074 0.440
K -5.412 0.612 -4.576
Sr -3.348 1.382 -0.907
O -6.828 -3.055 -0.619
O -6.071 -4.694 -5.406
O -4.753 -0.567 -6.802



Entry 2:
5
Lattice="-0.874 -1.965 5.348 -4.170 -3.466 -1.955 3.806 -4.084 -0.879" Properties=species:S:1:pos:R:3 comment="CsAuI2Br | the Alexandria database | PBE-GGA | optimized geometry" dft_energy_ev_per_atom=-2.491 formation_energy_uncorrected_ev_per_atom=-0.71 magnetic_moment_mub_per_fu=0.0 pbc="T T T"
Br 1.903 -2.042 -0.440
Cs -0.619 -4.757 1.257
I -2.085 -1.733 -0.977
Au 0.000 0.000 0.000
I -0.437 -0.983 2.674



Entry 3:
8
Lattice="4.474 0.000 0.000 0.000 7.725 -0.145 0.000 2.726 7.252" Properties=species:S:1:pos:R:3 comment="PrSmPu2Sb4 | the Alexandria database | PBE-GGA | optimized geometry" dft_energy_ev_per_atom=-7.716 formation_energy_uncorrected_ev_per_atom=-0.88 magnetic_moment_mub_per_fu=10.1 pbc="T T T"
Sb 2.237 3.919 5.403
Sb 4.474 2.557 1.819
Pu 0.000 2.726 7.252
Sb 2.237 6.532 1.703
Pu 2.237 1.363 3.626
Sb 0.000 7.894 5.287
Pr 2.237 6.589 7.179
Sm 0.000 5.226 3.553



Entry 4:
10
Lattice="-7.009 -5.981 -1.881 5.759 -5.027 -5.477 0.896 -8.716 0.868" Properties=species:S:1:pos:R:3 comment="Rb2LaSI6 | the Alexandria database | PBE-GGA | optimized geometry" dft_energy_ev_per_atom=-2.991 formation_energy_uncorrected_ev_per_atom=-0.96 magnetic_moment_mub_per_fu=1.0 pbc="T T T"
Rb -3.369 -10.100 -2.346
La 0.000 0.000 0.000
Rb 3.015 -9.623 -4.144
S -0.625 -5.504 -3.679
I -0.414 -12.773 -4.859
I -0.294 -2.591 -1.732
I -0.956 -8.417 -5.626
I -4.004 -5.756 -2.727
I 2.754 -5.251 -4.631
I 0.060 -6.950 -1.631



Entry 5:
16
Lattice="9.654 0.000 0.000 0.000 9.654 0.000 0.000 0.000 5.409" Properties=species:S:1:pos:R:3 comment="CaIn | the Alexandria database | PBE-GGA | optimized geometry" dft_energy_ev_per_atom=-2.675 magnetic_moment_mub_per_fu=0.0 delta_e_f_mev_per_atom=-305 pbc="T T T"
In 3.298 3.298 2.705
In 3.298 6.356 2.705
In 6.356 6.356 2.705
In 8.125 8.125 0.000
Ca 4.827 2.020 0.000
In 8.125 1.529 0.000
Ca 2.807 0.000 2.705
Ca 6.847 0.000 2.705
Ca 0.000 6.847 2.705
In 1.529 1.529 0.000
In 6.356 3.298 2.705
Ca 7.634 4.827 0.000
In 1.529 8.125 0.000
Ca 2.020 4.827 0.000
Ca 0.000 2.807 2.705
Ca 4.827 7.634 0.000



Entry 6:
4
Lattice="-1.466 -2.879 0.013 2.459 -1.245 1.687 -2.654 1.373 4.881" Properties=species:S:1:pos:R:3 comment="TaSiP2 | the Alexandria database | PBE-GGA | optimized geometry" dft_energy_ev_per_atom=-7.093 formation_energy_uncorrected_ev_per_atom=-0.07 magnetic_moment_mub_per_fu=0.0 pbc="T T T"
P -1.385 0.716 2.548
Si -0.167 -1.719 2.070
P -2.596 1.342 4.773
Ta -1.494 -1.032 4.510